Record 1
Density functional theory data (PBE) for NaScMn2 after structural relaxation.

Cell and atoms, written as POSCAR:
```
NaScMn2
1.0
0.000 3.389 3.389
3.389 0.000 3.389
3.389 3.389 0.000
Na Mn Sc
1 2 1
Direct
0.000 0.000 0.000
0.750 0.750 0.750
0.250 0.250 0.250
0.500 0.500 0.500
```

Computed properties:
The calculation puts the energy relative to the elements at 2.64 eV per formula unit. The density of states at the Fermi level comes out at 1.634 states/eV per atom. As for the crystal system: cubic. For the total magnetic moment, the calculation gives 1.711 μB per atom. Its uncorrected energy is -5.838 eV/atom.

Record 2
Density functional theory data (PBE) for Na2ScMn after structural relaxation.

Cell and atoms, written as POSCAR:
```
Na2ScMn
1.0
-1.504 -2.034 3.086
3.671 -1.211 0.991
2.383 8.055 9.052
Na Sc Mn
4 2 2
Direct
0.113 0.625 0.250
0.875 0.887 0.750
0.637 0.125 0.250
0.375 0.363 0.750
0.500 0.500 0.000
0.250 0.750 0.500
0.000 0.000 0.000
0.750 0.250 0.500
```

Computed properties:
The calculation puts the energy relative to the elements at 2.37 eV per formula unit. The density of states at the Fermi level comes out at 1.083 states/eV per atom. As for the crystal system: tetragonal. For the total magnetic moment, the calculation gives 0.703 μB per atom. Its uncorrected energy is -3.941 eV/atom.

Record 3
Density functional theory data (PBE) for Na2ScMn after structural relaxation.

Cell and atoms, written as POSCAR:
```
Na2ScMn
1.0
0.833 3.602 3.237
-2.905 0.489 3.933
1.724 -1.070 4.476
Na Sc Mn
2 1 1
Direct
0.250 0.250 0.250
0.750 0.750 0.750
0.000 0.000 0.000
0.500 0.500 0.500
```

Computed properties:
The calculation puts the energy relative to the elements at 4.88 eV per formula unit. The density of states at the Fermi level comes out at 4.416 states/eV per atom. As for the crystal system: cubic. For the total magnetic moment, the calculation gives 0.000 μB per atom. Its uncorrected energy is -3.314 eV/atom.

Record 4
Density functional theory data (PBE) for Na3Sc3MnSe8 after structural relaxation.

Cell and atoms, written as POSCAR:
```
Na3Sc3MnSe8
1.0
-4.592 6.079 1.187
-2.869 -7.143 0.442
4.980 2.548 6.216
Se Na Sc Mn
8 3 3 1
Direct
0.755 0.981 0.707
0.245 0.019 0.293
0.740 0.479 0.719
0.260 0.521 0.281
0.774 0.547 0.293
0.774 0.019 0.293
0.226 0.981 0.707
0.226 0.453 0.707
0.500 0.500 0.000
0.000 0.500 0.000
0.000 0.000 0.000
0.500 0.500 0.500
0.500 0.000 0.500
0.000 0.500 0.500
0.000 0.000 0.500
```

Computed properties:
The density of states at the Fermi level comes out at 0.066 states/eV per atom. As for the crystal system: trigonal. For the total magnetic moment, the calculation gives 0.201 μB per atom. The formation energy from raw total energies comes out at -1.33 eV per atom. Its uncorrected energy is -5.326 eV/atom.

Record 5
Density functional theory data (PBE) for Na4Sc3MnSe8 after structural relaxation.

Cell and atoms, written as POSCAR:
```
Na4Sc3MnSe8
1.0
-4.391 4.348 4.781
1.616 -5.225 6.236
6.043 3.221 -3.763
Na Se Mn Sc
4 8 1 3
Direct
0.500 0.000 0.500
0.500 0.000 0.000
0.000 0.000 0.000
0.000 0.000 0.500
0.740 0.719 0.480
0.766 0.286 0.532
0.766 0.286 0.020
0.234 0.714 0.980
0.234 0.714 0.468
0.260 0.281 0.520
0.254 0.286 0.020
0.746 0.714 0.980
0.000 0.500 0.000
0.000 0.500 0.500
0.500 0.500 0.000
0.500 0.500 0.500
```

Computed properties:
The density of states at the Fermi level comes out at 0.117 states/eV per atom. As for the crystal system: trigonal. For the total magnetic moment, the calculation gives 0.250 μB per atom. The formation energy from raw total energies comes out at -1.36 eV per atom. Its uncorrected energy is -5.188 eV/atom.

Record 6
Density functional theory data (PBE) for Na3Sc2MnSe6 after structural relaxation.

Cell and atoms, written as POSCAR:
```
Na3Sc2MnSe6
1.0
6.762 -0.022 0.004
-3.398 5.846 0.004
-1.118 -1.936 6.950
Sc Se Mn Na
2 6 1 3
Direct
0.667 0.333 0.000
0.333 0.667 0.000
0.603 0.927 0.784
0.249 0.249 0.789
0.397 0.073 0.216
0.073 0.397 0.216
0.927 0.603 0.784
0.751 0.751 0.211
0.000 0.000 0.000
0.500 0.500 0.500
0.832 0.168 0.500
0.168 0.832 0.500
```

Computed properties:
The density of states at the Fermi level comes out at 0.418 states/eV per atom. As for the crystal system: monoclinic. For the total magnetic moment, the calculation gives 0.333 μB per atom. The formation energy from raw total energies comes out at -1.27 eV per atom. Its uncorrected energy is -5.164 eV/atom.

Record 7
Density functional theory data (PBE) for Na2ScMnSe4 after structural relaxation.

Cell and atoms, written as POSCAR:
```
Na2ScMnSe4
1.0
3.896 0.000 0.000
0.000 6.655 0.117
0.000 -2.329 6.922
Mn Na Se Sc
1 2 4 1
Direct
0.500 0.500 0.000
0.500 0.000 0.500
0.000 0.500 0.500
0.000 0.730 0.211
0.500 0.750 0.787
0.500 0.250 0.213
0.000 0.270 0.789
0.000 0.000 0.000
```

Computed properties:
The density of states at the Fermi level comes out at 0.214 states/eV per atom. As for the crystal system: monoclinic. For the total magnetic moment, the calculation gives 0.500 μB per atom. The formation energy from raw total energies comes out at -1.13 eV per atom. Its uncorrected energy is -5.143 eV/atom.

Record 8
Density functional theory data (PBE) for Na3ScMn2Se6 after structural relaxation.

Cell and atoms, written as POSCAR:
```
Na3ScMn2Se6
1.0
-1.729 2.979 5.688
-3.561 -5.131 -2.281
5.846 -3.690 2.411
Se Mn Sc Na
6 2 1 3
Direct
0.725 0.725 0.209
0.930 0.585 0.791
0.585 0.930 0.791
0.070 0.415 0.209
0.415 0.070 0.209
0.275 0.275 0.791
0.333 0.667 0.000
0.667 0.333 0.000
0.000 0.000 0.000
0.835 0.165 0.500
0.500 0.500 0.500
0.165 0.835 0.500
```

Computed properties:
The density of states at the Fermi level comes out at 0.384 states/eV per atom. As for the crystal system: monoclinic. For the total magnetic moment, the calculation gives 0.667 μB per atom. The formation energy from raw total energies comes out at -0.99 eV per atom. Its uncorrected energy is -5.114 eV/atom.

Record 9
Density functional theory data (PBE) for NaSrSc2Mn after structural relaxation.

Cell and atoms, written as POSCAR:
```
NaSrSc2Mn
1.0
-1.816 2.768 3.614
2.714 -3.382 3.955
3.948 2.895 -0.233
Na Sc Sr Mn
1 2 1 1
Direct
0.000 0.500 0.000
0.000 0.000 0.500
0.500 0.000 0.000
0.500 0.500 0.500
0.000 0.000 0.000
```

Computed properties:
The calculation puts the energy relative to the elements at 1.86 eV per formula unit. The density of states at the Fermi level comes out at 1.092 states/eV per atom. As for the crystal system: tetragonal. For the total magnetic moment, the calculation gives 0.133 μB per atom. Its uncorrected energy is -4.595 eV/atom.

Record 10
Density functional theory data (PBE) for Na2SrScMn after structural relaxation.

Cell and atoms, written as POSCAR:
```
Na2SrScMn
1.0
5.752 0.000 0.000
0.000 5.752 0.000
0.000 0.000 4.922
Mn Na Sr Sc
1 2 1 1
Direct
0.000 0.000 0.000
0.000 0.500 0.000
0.500 0.000 0.000
0.500 0.500 0.500
0.000 0.000 0.500
```

Computed properties:
The calculation puts the energy relative to the elements at 2.73 eV per formula unit. The density of states at the Fermi level comes out at 0.931 states/eV per atom. As for the crystal system: tetragonal. For the total magnetic moment, the calculation gives 0.472 μB per atom. Its uncorrected energy is -3.419 eV/atom.

Record 11
Density functional theory data (PBE) for Na3Sc2MnTe6 after structural relaxation.

Cell and atoms, written as POSCAR:
```
Na3Sc2MnTe6
1.0
7.259 -0.011 -0.001
-3.637 6.282 -0.001
-1.209 -2.093 7.547
Sc Te Na Mn
2 6 3 1
Direct
0.666 0.334 0.000
0.334 0.666 0.000
0.396 0.072 0.216
0.604 0.928 0.784
0.251 0.251 0.786
0.928 0.604 0.784
0.072 0.396 0.216
0.749 0.749 0.214
0.168 0.832 0.500
0.832 0.168 0.500
0.500 0.500 0.500
0.000 0.000 0.000
```

Computed properties:
The density of states at the Fermi level comes out at 0.438 states/eV per atom. As for the crystal system: monoclinic. For the total magnetic moment, the calculation gives 0.338 μB per atom. The formation energy from raw total energies comes out at -0.92 eV per atom. Its uncorrected energy is -4.640 eV/atom.

Record 12
Density functional theory data (PBE) for Na2ScMnTe4 after structural relaxation.

Cell and atoms, written as POSCAR:
```
Na2ScMnTe4
1.0
4.176 0.000 0.000
0.000 7.152 0.111
0.000 -2.506 7.536
Te Sc Na Mn
4 1 2 1
Direct
0.500 0.230 0.211
0.500 0.770 0.789
0.000 0.252 0.785
0.000 0.748 0.215
0.500 0.500 0.000
0.500 0.000 0.500
0.000 0.500 0.500
0.000 0.000 0.000
```

Computed properties:
The density of states at the Fermi level comes out at 0.276 states/eV per atom. As for the crystal system: monoclinic. For the total magnetic moment, the calculation gives 0.507 μB per atom. The formation energy from raw total energies comes out at -0.80 eV per atom. Its uncorrected energy is -4.641 eV/atom.

Record 13
Density functional theory data (PBE) for Na3Sc3MnTe8 after structural relaxation.

Cell and atoms, written as POSCAR:
```
Na3Sc3MnTe8
1.0
8.252 0.000 0.000
-4.126 7.156 -0.034
0.000 -4.747 7.736
Te Na Mn Sc
8 3 1 3
Direct
0.229 0.459 0.710
0.771 0.541 0.290
0.260 0.520 0.279
0.752 0.981 0.710
0.248 0.019 0.290
0.740 0.480 0.721
0.229 0.981 0.710
0.771 0.019 0.290
0.500 0.500 0.000
0.000 0.500 0.000
0.000 0.000 0.000
0.000 0.000 0.500
0.000 0.500 0.500
0.500 0.000 0.500
0.500 0.500 0.500
```

Computed properties:
The density of states at the Fermi level comes out at 0.198 states/eV per atom. As for the crystal system: monoclinic. For the total magnetic moment, the calculation gives 0.214 μB per atom. The formation energy from raw total energies comes out at -0.95 eV per atom. Its uncorrected energy is -4.772 eV/atom.

Record 14
Density functional theory data (PBE) for Na2MnSe2 after structural relaxation.

Cell and atoms, written as POSCAR:
```
Na2MnSe2
1.0
7.275 0.000 -0.276
0.000 7.560 0.000
-0.372 0.000 9.260
Mn Na Se
4 8 8
Direct
0.153 0.908 0.628
0.347 0.408 0.372
0.653 0.592 0.628
0.847 0.092 0.372
0.540 0.177 0.679
0.040 0.323 0.679
0.960 0.677 0.321
0.986 0.764 0.942
0.486 0.736 0.942
0.460 0.823 0.321
0.514 0.264 0.058
0.014 0.236 0.058
0.752 0.452 0.860
0.295 0.603 0.595
0.248 0.548 0.140
0.252 0.048 0.860
0.795 0.897 0.595
0.205 0.103 0.405
0.705 0.397 0.405
0.748 0.952 0.140
```

Computed properties:
As for the crystal system: monoclinic. For the total magnetic moment, the calculation gives 1.000 μB per atom. The formation energy from raw total energies comes out at -0.83 eV per atom. Its uncorrected energy is -4.587 eV/atom.

Record 15
Density functional theory data (PBE) for Na3MnSe after structural relaxation.

Cell and atoms, written as POSCAR:
```
Na3MnSe
1.0
-4.730 -2.391 1.448
2.672 -3.035 3.720
-0.819 3.907 3.776
Na Mn Se
3 1 1
Direct
0.000 0.500 0.000
0.500 0.000 0.000
0.000 0.000 0.500
0.000 0.000 0.000
0.500 0.500 0.500
```

Computed properties:
The density of states at the Fermi level comes out at 1.582 states/eV per atom. As for the crystal system: cubic. For the total magnetic moment, the calculation gives 0.825 μB per atom. The formation energy from raw total energies comes out at 0.54 eV per atom. Its uncorrected energy is -2.785 eV/atom.

Record 16
Density functional theory data (PBE) for NaMn2Se3 after structural relaxation.

Cell and atoms, written as POSCAR:
```
NaMn2Se3
1.0
-3.078 -0.908 2.521
0.177 -6.642 -2.176
8.696 1.447 7.835
Na Se Mn
2 6 4
Direct
0.652 0.869 0.304
0.348 0.131 0.696
0.770 0.760 0.540
0.591 0.411 0.182
0.230 0.240 0.460
0.062 0.885 0.125
0.409 0.589 0.818
0.938 0.115 0.875
0.696 0.397 0.392
0.953 0.787 0.906
0.304 0.603 0.608
0.047 0.213 0.094
```

Computed properties:
The density of states at the Fermi level comes out at 0.434 states/eV per atom. As for the crystal system: monoclinic. For the total magnetic moment, the calculation gives 1.500 μB per atom. The formation energy from raw total energies comes out at -0.52 eV per atom. Its uncorrected energy is -5.543 eV/atom.

Record 17
Density functional theory data (PBE) for NaMn2Se2 after structural relaxation.

Cell and atoms, written as POSCAR:
```
NaMn2Se2
1.0
4.740 0.000 0.000
0.000 4.740 0.000
2.370 2.370 4.079
Na Se Mn
1 2 2
Direct
0.000 0.000 0.000
0.250 0.750 0.500
0.750 0.250 0.500
0.636 0.636 0.729
0.364 0.364 0.271
```

Computed properties:
The density of states at the Fermi level comes out at 0.508 states/eV per atom. As for the crystal system: tetragonal. For the total magnetic moment, the calculation gives 0.969 μB per atom. The formation energy from raw total energies comes out at -0.13 eV per atom. Its uncorrected energy is -5.459 eV/atom.

Record 18
Density functional theory data (PBE) for Na2MnSe after structural relaxation.

Cell and atoms, written as POSCAR:
```
Na2MnSe
1.0
-4.952 -7.527 5.132
7.137 -6.835 -3.139
2.418 -6.705 2.973
Na Se Mn
4 2 2
Direct
0.375 0.238 0.750
0.875 0.012 0.750
0.762 0.125 0.250
0.988 0.625 0.250
0.750 0.250 0.500
0.000 0.000 0.000
0.500 0.500 0.000
0.250 0.750 0.500
```

Computed properties:
The density of states at the Fermi level comes out at 0.637 states/eV per atom. As for the crystal system: tetragonal. For the total magnetic moment, the calculation gives 0.913 μB per atom. The formation energy from raw total energies comes out at -0.06 eV per atom. Its uncorrected energy is -3.888 eV/atom.

Record 19
Density functional theory data (PBE) for Na3MnSe after structural relaxation.

Cell and atoms, written as POSCAR:
```
Na3MnSe
1.0
5.544 0.000 0.000
0.000 5.544 0.000
0.000 0.000 5.544
Mn Na Se
1 3 1
Direct
0.500 0.500 0.500
0.000 0.500 0.000
0.000 0.000 0.500
0.500 0.000 0.000
0.000 0.000 0.000
```

Computed properties:
The density of states at the Fermi level comes out at 1.503 states/eV per atom. As for the crystal system: cubic. For the total magnetic moment, the calculation gives 0.872 μB per atom. The formation energy from raw total energies comes out at 0.04 eV per atom. Its uncorrected energy is -3.286 eV/atom.

Record 20
Density functional theory data (PBE) for NaMn2Se2 after structural relaxation.

Cell and atoms, written as POSCAR:
```
NaMn2Se2
1.0
-0.268 0.994 3.517
2.776 -2.238 0.844
5.748 4.530 1.067
Na Mn Se
1 2 2
Direct
0.000 0.000 0.000
0.250 0.750 0.500
0.750 0.250 0.500
0.365 0.365 0.269
0.635 0.635 0.731
```

Computed properties:
The density of states at the Fermi level comes out at 0.392 states/eV per atom. As for the crystal system: tetragonal. For the total magnetic moment, the calculation gives 0.785 μB per atom. The formation energy from raw total energies comes out at -0.43 eV per atom. Its uncorrected energy is -5.760 eV/atom.